The following is a DFT calculation (GGA-PBE) of a relaxed structure of Ta3BI.

a b c (Å): 4.4568 4.4568 4.4568
angles (deg): 90.00 90.00 90.00
Last column: nearest neighbours and their distance in Å.
Element x y z (fractional)
Ta 0.0000 0.0000 0.5000  2 B 2.23
Ta 0.0000 0.5000 0.0000  2 B 2.23
Ta 0.5000 0.0000 0.0000  2 B 2.23
B 0.0000 0.0000 0.0000  6 Ta 2.23
I 0.5000 0.5000 0.5000  12 Ta 3.15

calculated total energy: -8.0777 eV per atom
space group: No. 221
size of the total moment: 0.000 μB/atom
volume: 88.5 Å³ per cell
uncorrected formation energy: 679 meV per atom


The following is a DFT calculation (GGA-PBE) of a relaxed structure of Ta2BI.

a b c (Å): 6.3987 6.3987 6.3987
angles (deg): 90.00 90.00 90.00
Last column: nearest neighbours and their distance in Å.
Element x y z (fractional)
Ta 0.2500 0.2500 0.2500  4 B 2.77, 4 I 2.77
Ta 0.2500 0.2500 0.7500  4 B 2.77, 4 I 2.77
Ta 0.2500 0.7500 0.2500  4 B 2.77, 4 I 2.77
Ta 0.2500 0.7500 0.7500  4 B 2.77, 4 I 2.77
Ta 0.7500 0.2500 0.2500  4 B 2.77, 4 I 2.77
Ta 0.7500 0.2500 0.7500  4 B 2.77, 4 I 2.77
Ta 0.7500 0.7500 0.2500  4 B 2.77, 4 I 2.77
Ta 0.7500 0.7500 0.7500  4 B 2.77, 4 I 2.77
B 0.0000 0.0000 0.0000  8 Ta 2.77
B 0.0000 0.5000 0.5000  8 Ta 2.77
B 0.5000 0.0000 0.5000  8 Ta 2.77
B 0.5000 0.5000 0.0000  8 Ta 2.77
I 0.0000 0.0000 0.5000  8 Ta 2.77
I 0.0000 0.5000 0.0000  8 Ta 2.77
I 0.5000 0.0000 0.0000  8 Ta 2.77
I 0.5000 0.5000 0.5000  8 Ta 2.77

calculated total energy: -7.0451 eV per atom
space group: No. 225
size of the total moment: 0.000 μB/atom
volume: 262.0 Å³ per cell
uncorrected formation energy: 938 meV per atom


The following is a DFT calculation (GGA-PBE) of a relaxed structure of Ta2TcBI.

a b c (Å): 4.4414 4.4414 4.2829
angles (deg): 90.00 90.00 90.00
Last column: nearest neighbours and their distance in Å.
Element x y z (fractional)
Ta 0.0000 0.5000 0.0000  2 B 2.22
Ta 0.5000 0.0000 0.0000  2 B 2.22
Tc 0.0000 0.0000 0.5000  2 B 2.14
B 0.0000 0.0000 0.0000  2 Tc 2.14, 4 Ta 2.22
I 0.5000 0.5000 0.5000  8 Ta 3.09, 4 Tc 3.14

calculated total energy: -7.7918 eV per atom
space group: No. 123
size of the total moment: 0.000 μB/atom
volume: 84.5 Å³ per cell
uncorrected formation energy: 668 meV per atom


The following is a DFT calculation (GGA-PBE) of a relaxed structure of Ta2TiBI.

a b c (Å): 4.8189 4.8189 4.9866
angles (deg): 90.00 90.00 90.00
Last column: nearest neighbours and their distance in Å.
Element x y z (fractional)
Ta 0.0000 0.5000 0.0000  2 Ti 2.41
Ta 0.5000 0.0000 0.0000  2 Ti 2.41
Ti 0.0000 0.0000 0.0000  4 Ta 2.41, 2 I 2.49
B 0.5000 0.5000 0.5000  4 I 3.41, 8 Ta 3.47
I 0.0000 0.0000 0.5000  2 Ti 2.49

calculated total energy: -5.6407 eV per atom
space group: No. 123
size of the total moment: 0.000 μB/atom
volume: 115.8 Å³ per cell
uncorrected formation energy: 2325 meV per atom


The following is a DFT calculation (GGA-PBE) of a relaxed structure of TaTlB2I.

a b c (Å): 4.5236 4.5236 5.6692
angles (deg): 90.00 90.00 90.00
Last column: nearest neighbours and their distance in Å.
Element x y z (fractional)
Ta 0.0000 0.0000 0.0000  4 B 2.26
Tl 0.5000 0.5000 0.5000  4 I 3.20
B 0.0000 0.5000 0.0000  2 Ta 2.26
B 0.5000 0.0000 0.0000  2 Ta 2.26
I 0.0000 0.0000 0.5000  2 Ta 2.83

calculated total energy: -4.6990 eV per atom
space group: No. 123
size of the total moment: 0.000 μB/atom
volume: 116.0 Å³ per cell
uncorrected formation energy: 1126 meV per atom


The following is a DFT calculation (GGA-PBE) of a relaxed structure of TbBI.

a b c (Å): 4.5436 4.7477 16.3558
angles (deg): 90.00 90.00 90.00
Last column: nearest neighbours and their distance in Å.
Element x y z (fractional)
Tb 0.0000 0.0000 0.1117  2 B 2.38
Tb 0.0000 0.0000 0.8883  2 B 2.38
Tb 0.5000 0.5000 0.3883  2 B 2.38
Tb 0.5000 0.5000 0.6117  2 B 2.38
B 0.1648 0.5000 0.5000  1 B 1.50
B 0.3352 0.0000 0.0000  1 B 1.50
B 0.6648 0.0000 0.0000  1 B 1.50
B 0.8352 0.5000 0.5000  1 B 1.50
I 0.0000 0.0000 0.3217  5 Tb 3.43-3.46, 4 B 3.83
I 0.0000 0.0000 0.6783  5 Tb 3.43-3.46, 4 B 3.83
I 0.5000 0.5000 0.1783  5 Tb 3.43-3.46, 4 B 3.83
I 0.5000 0.5000 0.8217  5 Tb 3.43-3.46, 4 B 3.83

calculated total energy: -4.3685 eV per atom
space group: No. 71
size of the total moment: 0.000 μB/atom
volume: 352.8 Å³ per cell
uncorrected formation energy: -83 meV per atom


The following is a DFT calculation (GGA-PBE) of a relaxed structure of Tb4B2I5.

a b c (Å): 11.7416 11.7416 11.7416
angles (deg): 160.28 137.19 47.55
Last column: nearest neighbours and their distance in Å.
Element x y z (fractional)
Tb 0.1446 0.1446 0.0000  1 B 2.32
Tb 0.1890 0.5000 0.6890  4 B 2.70
Tb 0.8110 0.5000 0.3110  4 B 2.70
Tb 0.8554 0.8554 0.0000  1 B 2.32
B 0.0366 0.0366 0.0000  1 B 1.57
B 0.9634 0.9634 0.0000  1 B 1.57
I 0.1100 0.3436 0.7664  2 Tb 3.05
I 0.4227 0.6564 0.7664  2 Tb 3.05
I 0.5000 0.0000 0.5000  4 Tb 3.34
I 0.5773 0.3436 0.2336  2 Tb 3.05
I 0.8900 0.6564 0.2336  2 Tb 3.05

calculated total energy: -4.5521 eV per atom
space group: No. 71
size of the total moment: 0.000 μB/atom
volume: 370.2 Å³ per cell
uncorrected formation energy: -950 meV per atom


The following is a DFT calculation (GGA-PBE) of a relaxed structure of Tb2BI.

a b c (Å): 3.9707 3.9707 22.4242
angles (deg): 90.00 90.00 120.00
Last column: nearest neighbours and their distance in Å.
Element x y z (fractional)
Tb 0.0000 0.0000 0.2252  3 B 2.64
Tb 0.0000 0.0000 0.7748  3 B 2.64
Tb 0.3333 0.6667 0.4415  3 B 2.64
Tb 0.3333 0.6667 0.8919  3 B 2.64
Tb 0.6667 0.3333 0.1081  3 B 2.64
Tb 0.6667 0.3333 0.5585  3 B 2.64
B 0.0000 0.0000 0.5000  6 Tb 2.64
B 0.3333 0.6667 0.1667  6 Tb 2.64
B 0.6667 0.3333 0.8333  6 Tb 2.64
I 0.0000 0.0000 0.0000  6 Tb 3.34
I 0.3333 0.6667 0.6667  6 Tb 3.34
I 0.6667 0.3333 0.3333  6 Tb 3.34

calculated total energy: -4.9723 eV per atom
space group: No. 166
size of the total moment: 0.000 μB/atom
volume: 306.2 Å³ per cell
uncorrected formation energy: -600 meV per atom